# 1
Here is Cu4Ag after structural relaxation from OQMD. Energies are from PBE.

Computed properties:
total energy: -17.305 eV/f.u.
distance to the lowest polymorph of the same formula: 33 meV/atom
calculated volume: 131 Å³ per cell
ΔE_f: 0.0774 eV/atom

Lattice parameters (Å, degrees): 7.0157 7.0157 4.5493 96.15 96.15 141.88
Fractional coordinates of all 10 atoms:
Cu: 0.0000 0.0000 0.0000
Cu: 0.0988 0.9012 0.5000
Cu: 0.1986 0.8014 0.0000
Cu: 0.2931 0.7069 0.5000
Cu: 0.5000 0.5000 0.5000
Cu: 0.7069 0.2931 0.5000
Cu: 0.8014 0.1986 0.0000
Cu: 0.9012 0.0988 0.5000
Ag: 0.3959 0.6041 0.0000
Ag: 0.6041 0.3959 0.0000


# 2
Here is CuSeF after structural relaxation from OQMD. Energies are from PBE.

Computed properties:
total energy: -11.371 eV/f.u.
distance to the lowest polymorph of the same formula: 0 meV/atom
calculated volume: 91 Å³ per cell

Lattice parameters (Å, degrees): 4.7033 3.4401 5.7563 90.00 100.80 90.00
Fractional coordinates of all 6 atoms:
Cu: 0.0000 0.0000 0.0000
Cu: 0.5000 0.5000 0.5000
Se: 0.2118 0.0000 0.6439
Se: 0.7882 0.0000 0.3561
F: 0.2504 0.5000 0.1425
F: 0.7496 0.5000 0.8575


# 3
Here is Dy3Al3Ni2Ir after structural relaxation from OQMD. Energies are from PBE.

Computed properties:
total energy: -51.323 eV/f.u.
M_tot: 0.00 μB/f.u.
calculated volume: 168 Å³ per cell

Lattice parameters (Å, degrees): 7.0201 7.0201 3.9360 90.00 90.00 120.00
Fractional coordinates of all 9 atoms:
Dy: 0.0000 0.4197 0.0000
Dy: 0.4197 0.0000 0.0000
Dy: 0.5803 0.5803 0.0000
Al: 0.0000 0.7595 0.5000
Al: 0.2405 0.2405 0.5000
Al: 0.7595 0.0000 0.5000
Ni: 0.3333 0.6667 0.5000
Ni: 0.6667 0.3333 0.5000
Ir: 0.0000 0.0000 0.0000


# 4
Here is Tb2PbO4 after structural relaxation from OQMD. Energies are from PBE.

Computed properties:
total energy: -52.309 eV/f.u.
M_tot: 0.00 μB/f.u.
calculated volume: 238 Å³ per cell

Lattice parameters (Å, degrees): 6.9602 6.9602 6.9602 60.00 60.00 60.00
Fractional coordinates of all 14 atoms:
Tb: 0.0000 0.0000 0.0000
Tb: 0.0000 0.0000 0.5000
Tb: 0.0000 0.5000 0.0000
Tb: 0.5000 0.0000 0.0000
Pb: 0.3750 0.3750 0.3750
Pb: 0.6250 0.6250 0.6250
O: 0.1975 0.7675 0.7675
O: 0.2325 0.2325 0.2325
O: 0.2325 0.2325 0.8025
O: 0.2325 0.8025 0.2325
O: 0.7675 0.1975 0.7675
O: 0.7675 0.7675 0.1975
O: 0.7675 0.7675 0.7675
O: 0.8025 0.2325 0.2325


# 5
Here is InAuNO after structural relaxation from OQMD. Energies are from PBE.

Computed properties:
total energy: -18.828 eV/f.u.
distance to the lowest polymorph of the same formula: 53 meV/atom
calculated volume: 127 Å³ per cell

Lattice parameters (Å, degrees): 3.6620 6.3695 5.4538 90.00 90.00 90.00
Fractional coordinates of all 8 atoms:
In: 0.0000 0.1454 0.0000
In: 0.0000 0.8546 0.5000
Au: 0.5000 0.4287 0.5354
Au: 0.5000 0.5713 0.0354
N: 0.5000 0.2764 0.8638
N: 0.5000 0.7236 0.3638
O: 0.0000 0.1685 0.3829
O: 0.0000 0.8315 0.8829


# 6
Here is TaAsAuO after structural relaxation from OQMD. Energies are from PBE.

Computed properties:
total energy: -27.865 eV/f.u.
M_tot: 0.00 μB/f.u.
distance to the lowest polymorph of the same formula: 5 meV/atom
calculated volume: 139 Å³ per cell

Lattice parameters (Å, degrees): 3.8839 6.7771 5.2701 90.00 90.00 90.00
Fractional coordinates of all 8 atoms:
Ta: 0.0000 0.1667 0.0000
Ta: 0.0000 0.8333 0.5000
As: 0.0000 0.2279 0.4985
As: 0.0000 0.7721 0.9985
Au: 0.5000 0.4639 0.5461
Au: 0.5000 0.5361 0.0461
O: 0.5000 0.1307 0.0058
O: 0.5000 0.8693 0.5058


# 7
Here is Na2Mg2SiGePd2 after structural relaxation from OQMD. Energies are from PBE.

Computed properties:
total energy: -28.034 eV/f.u.
calculated volume: 137 Å³ per cell

Lattice parameters (Å, degrees): 4.5871 4.5871 6.4926 90.00 90.00 90.00
Fractional coordinates of all 8 atoms:
Na: 0.0000 0.5000 0.2480
Na: 0.5000 0.0000 0.7520
Mg: 0.0000 0.0000 0.0000
Mg: 0.5000 0.5000 0.5000
Si: 0.5000 0.5000 0.0000
Ge: 0.0000 0.0000 0.5000
Pd: 0.0000 0.5000 0.7607
Pd: 0.5000 0.0000 0.2393


# 8
Here is AcLuHf after structural relaxation from OQMD. Energies are from PBE.

Computed properties:
total energy: -16.029 eV/f.u.
M_tot: 1.90 μB/f.u.
distance to the lowest polymorph of the same formula: 0 meV/atom
calculated volume: 433 Å³ per cell
ΔE_f: 0.8520 eV/atom

Lattice parameters (Å, degrees): 7.5626 7.5626 7.5626 90.00 90.00 90.00
Fractional coordinates of all 12 atoms:
Ac: 0.0000 0.0000 0.0000
Ac: 0.0000 0.5000 0.5000
Ac: 0.5000 0.0000 0.5000
Ac: 0.5000 0.5000 0.0000
Lu: 0.0000 0.0000 0.5000
Lu: 0.0000 0.5000 0.0000
Lu: 0.5000 0.0000 0.0000
Lu: 0.5000 0.5000 0.5000
Hf: 0.2500 0.2500 0.2500
Hf: 0.2500 0.7500 0.7500
Hf: 0.7500 0.2500 0.7500
Hf: 0.7500 0.7500 0.2500